1.
CsK2LaI PBE-GGA optimized geometry; raw formation energy = 0.410 eV per atom; magnetic moment = 2.8 μB/f.u.
1.0
6.558 0.000 0.000
0.000 6.558 0.000
0.000 0.000 6.677
Cs K La I
1 2 1 1
Direct
0.000 0.000 0.000
0.000 0.500 0.000
0.500 0.000 0.000
0.500 0.500 0.500
0.000 0.000 0.500


2.
CsKLiI3 PBE-GGA optimized geometry; raw formation energy = -1.409 eV per atom; magnetic moment = 0.0 μB/f.u.
1.0
2.460 -8.359 0.000
2.460 8.359 0.000
0.000 0.000 13.611
Cs K Li I
2 2 2 6
Direct
0.243 0.757 0.750
0.757 0.243 0.250
0.500 0.500 0.000
0.500 0.500 0.500
0.040 0.960 0.250
0.960 0.040 0.750
0.134 0.866 0.084
0.134 0.866 0.416
0.445 0.555 0.250
0.555 0.445 0.750
0.866 0.134 0.584
0.866 0.134 0.916


3.
CsK2LiI PBE-GGA optimized geometry; raw formation energy = -0.343 eV per atom; magnetic moment = 0.0 μB/f.u.
1.0
7.382 0.000 0.000
0.000 7.382 0.000
0.000 0.000 5.815
Cs K Li I
1 2 1 1
Direct
0.000 0.000 0.000
0.000 0.500 0.500
0.500 0.000 0.500
0.500 0.500 0.000
0.500 0.500 0.500


4.
Cs2KLiI4 PBE-GGA optimized geometry; raw formation energy = -1.379 eV per atom; magnetic moment = 0.0 μB/f.u.
1.0
7.262 -7.168 0.000
7.262 7.168 0.000
-7.186 0.000 7.348
Cs K Li I
4 2 2 8
Direct
0.000 0.000 0.000
0.000 0.000 0.500
0.000 0.500 0.000
0.500 0.000 0.500
0.500 0.500 0.000
0.500 0.500 0.500
0.000 0.500 0.500
0.500 0.000 0.000
0.229 0.301 0.515
0.250 0.735 0.523
0.265 0.750 0.977
0.301 0.229 0.015
0.699 0.771 0.985
0.735 0.250 0.023
0.750 0.265 0.477
0.771 0.699 0.485


5.
Cs2KLiI6 PBE-GGA optimized geometry; raw formation energy = -0.976 eV per atom; magnetic moment = 2.0 μB/f.u.
1.0
0.000 6.238 6.238
6.238 0.000 6.238
6.238 6.238 0.000
Cs K Li I
2 1 1 6
Direct
0.250 0.250 0.250
0.750 0.750 0.750
0.000 0.000 0.000
0.500 0.500 0.500
0.269 0.269 0.731
0.269 0.731 0.269
0.269 0.731 0.731
0.731 0.269 0.269
0.731 0.269 0.731
0.731 0.731 0.269


6.
Cs2KLiI PBE-GGA optimized geometry; raw formation energy = -0.322 eV per atom; magnetic moment = 0.0 μB/f.u.
1.0
8.516 0.000 0.000
0.000 8.516 0.000
0.000 0.000 5.257
Cs K Li I
2 1 1 1
Direct
0.000 0.500 0.000
0.500 0.000 0.000
0.000 0.000 0.500
0.500 0.500 0.000
0.500 0.500 0.500


7.
CsK2LiI4 PBE-GGA optimized geometry; raw formation energy = -1.426 eV per atom; magnetic moment = 0.1 μB/f.u.
1.0
2.481 -8.506 0.000
2.481 8.506 0.000
0.000 0.000 17.570
Cs K Li I
2 4 2 8
Direct
0.106 0.894 0.750
0.894 0.106 0.250
0.365 0.635 0.552
0.365 0.635 0.948
0.635 0.365 0.052
0.635 0.365 0.448
0.168 0.832 0.250
0.832 0.168 0.750
0.000 0.000 0.000
0.000 0.000 0.500
0.266 0.734 0.125
0.266 0.734 0.375
0.421 0.579 0.750
0.579 0.421 0.250
0.734 0.266 0.625
0.734 0.266 0.875


8.
Cs2KLiI PBE-GGA optimized geometry; raw formation energy = -0.406 eV per atom; magnetic moment = 0.0 μB/f.u.
1.0
7.945 0.000 0.000
0.000 7.945 0.000
0.000 0.000 5.656
Cs K Li I
2 1 1 1
Direct
0.000 0.500 0.000
0.500 0.000 0.000
0.000 0.000 0.500
0.500 0.500 0.500
0.500 0.500 0.000


9.
CsKMgI4 PBE-GGA optimized geometry; raw formation energy = -1.328 eV per atom; magnetic moment = 0.0 μB/f.u.
1.0
8.327 0.000 0.000
0.000 8.377 0.000
-3.226 0.000 9.970
Cs K Mg I
2 2 2 8
Direct
0.240 0.250 0.437
0.760 0.750 0.563
0.272 0.250 0.944
0.728 0.750 0.056
0.275 0.750 0.184
0.725 0.250 0.816
0.077 0.750 0.923
0.089 0.750 0.360
0.498 0.003 0.236
0.498 0.497 0.236
0.502 0.503 0.764
0.502 0.997 0.764
0.911 0.250 0.640
0.923 0.250 0.077


10.
Cs3KMg2I8 PBE-GGA optimized geometry; raw formation energy = -1.309 eV per atom; magnetic moment = 0.0 μB/f.u.
1.0
8.881 0.000 0.000
-4.440 7.691 0.000
0.000 0.000 10.963
Cs K Mg I
3 1 2 8
Direct
0.000 0.000 0.000
0.333 0.667 0.611
0.667 0.333 0.389
0.000 0.000 0.500
0.333 0.667 0.198
0.667 0.333 0.802
0.170 0.340 0.300
0.170 0.830 0.300
0.333 0.667 0.954
0.340 0.170 0.700
0.660 0.830 0.300
0.667 0.333 0.046
0.830 0.170 0.700
0.830 0.660 0.700


11.
Cs3K3MgI8 PBE-GGA optimized geometry; raw formation energy = -1.403 eV per atom; magnetic moment = 0.0 μB/f.u.
1.0
5.312 3.067 8.227
-5.312 3.067 8.227
0.000 -6.134 8.227
Cs K Mg I
3 3 1 8
Direct
0.000 0.500 0.500
0.500 0.000 0.500
0.500 0.500 0.000
0.000 0.000 0.500
0.000 0.500 0.000
0.500 0.000 0.000
0.000 0.000 0.000
0.192 0.795 0.795
0.205 0.205 0.808
0.205 0.808 0.205
0.241 0.241 0.241
0.759 0.759 0.759
0.795 0.192 0.795
0.795 0.795 0.192
0.808 0.205 0.205


12.
CsK2MgI5 PBE-GGA optimized geometry; raw formation energy = -1.343 eV per atom; magnetic moment = 0.0 μB/f.u.
1.0
-4.978 4.978 8.250
4.978 -4.978 8.250
4.978 4.978 -8.250
Cs K Mg I
2 4 2 10
Direct
0.250 0.250 0.000
0.750 0.750 0.000
0.159 0.659 0.818
0.341 0.159 0.500
0.659 0.841 0.500
0.841 0.341 0.182
0.250 0.750 0.500
0.750 0.250 0.500
0.000 0.000 0.000
0.005 0.206 0.500
0.206 0.706 0.202
0.294 0.495 0.500
0.495 0.995 0.202
0.500 0.500 0.000
0.505 0.005 0.798
0.706 0.505 0.500
0.794 0.294 0.798
0.995 0.794 0.500